Entry 1:
A plane-wave DFT calculation with SCAN was carried out for Ca5Rh at its PBEsol-relaxed geometry.

Cell lengths 6.633, 6.633, 9.125 Å; angles 112.36, 112.36, 31.97 degrees
Element x y z (fractional)
Ca 0.000 0.000 0.000
Ca 0.335 0.335 0.228
Ca 0.381 0.381 0.618
Ca 0.619 0.619 0.382
Ca 0.665 0.665 0.772
Rh 0.000 0.000 0.500

As for the crystal system: monoclinic. For the energy relative to the elements, the calculation gives -0.1352 eV/atom.



Entry 2:
A plane-wave DFT calculation with SCAN was carried out for CaRuRh2 at its PBEsol-relaxed geometry.

Cell lengths 2.873, 4.567, 4.685 Å; angles 90.00, 90.00, 90.00 degrees
Element x y z (fractional)
Ca 0.000 0.000 0.000
Ru 0.500 0.000 0.500
Rh 0.000 0.500 0.500
Rh 0.500 0.500 0.000

As for the crystal system: orthorhombic. For the energy relative to the elements, the calculation gives 0.2739 eV/atom.



Entry 3:
A plane-wave DFT calculation with SCAN was carried out for CaRuRh2 at its PBEsol-relaxed geometry.

Cell lengths 4.037, 4.037, 3.786 Å; angles 90.00, 90.00, 90.00 degrees
Element x y z (fractional)
Ca 0.000 0.000 0.000
Ru 0.500 0.500 0.000
Rh 0.000 0.500 0.500
Rh 0.500 0.000 0.500

As for the crystal system: tetragonal. For the energy relative to the elements, the calculation gives 0.1929 eV/atom.



E above lowest polymorph across the listed records, respectively: 106; 81; 0 meV/atom.